First-principles (PBE) data for an optimized crystal structure of Ba2Al2CrS6, as listed in Alexandria.

Formation energy without anion corrections: -114 kJ/mol of atoms
N(E_F): 0.19 states/eV per cell

```
Ba2Al2CrS6
1.0
6.994 0.000 0.000
3.497 6.057 0.000
3.497 2.019 6.461
Ba Al Cr S
2 2 1 6
Cartesian
10.491 6.057 4.321 Ba
3.497 2.019 2.140 Ba
6.994 4.038 4.660 Al
6.994 4.038 1.801 Al
0.000 0.000 0.000 Cr
8.879 5.126 1.597 S
5.109 5.126 1.597 S
6.994 1.862 1.597 S
6.994 6.214 4.864 S
8.879 2.950 4.864 S
5.109 2.950 4.864 S
```

=====

First-principles (PBE) data for an optimized crystal structure of Pr4SmHo3, as listed in Alexandria.

Excess energy over the best structure of this formula in the dataset: 0 meV/atom
E_form: 0.15 eV per formula unit
N(E_F): 23.96 states/eV per cell

```
Pr4SmHo3
1.0
7.252 0.000 0.000
0.000 7.250 0.000
0.000 0.000 10.305
Pr Ho Sm
8 6 2
Cartesian
7.252 5.878 0.000 Pr
3.627 2.251 0.000 Pr
5.446 0.439 7.725 Pr
1.806 4.064 7.732 Pr
3.625 5.875 5.152 Pr
0.000 2.253 5.152 Pr
1.806 4.064 2.573 Pr
5.446 0.439 2.579 Pr
7.252 2.251 0.000 Ho
1.800 0.439 7.728 Ho
5.452 4.064 7.729 Ho
0.000 5.876 5.152 Ho
5.452 4.064 2.575 Ho
1.800 0.439 2.577 Ho
3.627 5.878 0.000 Sm
3.625 2.253 5.152 Sm
```